{"formula": "AsAuBr2O", "functional": "GGA-PBE", "state": "optimized geometry", "lattice_angstrom": [[5.167, 0.000, 0.000], [0.000, 5.167, 0.000], [0.000, 0.000, 5.104]], "species": ["As", "Au", "O", "Br", "Br"], "frac_coords": [[0.000, 0.000, 0.500], [0.000, 0.000, 0.000], [0.500, 0.500, 0.500], [0.000, 0.500, 0.000], [0.500, 0.000, 0.000]], "polymorph_energy_kj_per_mol_atoms": 55.7, "vol_a3_per_cell": 136.3, "final_energy_ev_per_cell": -10.98, "raw_formation_energy_ev_per_atom": 1.05}